Here is CaYRu2Pb after structural relaxation from Alexandria. Energies are from PBE-GGA.

Computed properties:
DFT total energy in eV per cell: -25.70
Total moment in Bohr magnetons per cell: 0.94
Energy of formation in eV/f.u.: 5.0

```
CaYRu2Pb
1.0
4.949 0.000 0.000
0.000 4.949 0.000
0.000 0.000 5.729
Ca Y Ru Pb
1 1 2 1
Direct
0.000 0.000 0.000 Ca
0.500 0.500 0.500 Y
0.000 0.500 0.500 Ru
0.500 0.000 0.500 Ru
0.500 0.500 0.000 Pb
```

***

Here is Ca3PbS after structural relaxation from Alexandria. Energies are from PBE-GGA.

Computed properties:
DFT total energy in eV per cell: -19.23
E above lowest polymorph in kcal/mol of atoms: 0.00
Total moment in Bohr magnetons per cell: 0.00
Formation energy from raw total energies in eV/f.u.: -5.39

```
Ca3PbS
1.0
5.340 0.000 0.000
0.000 5.340 0.000
0.000 0.000 5.340
Ca Pb S
3 1 1
Direct
0.000 0.000 0.500 Ca
0.000 0.500 0.000 Ca
0.500 0.000 0.000 Ca
0.500 0.500 0.500 Pb
0.000 0.000 0.000 S
```

***

Here is Ca4Pb2S after structural relaxation from Alexandria. Energies are from PBE-GGA.

Computed properties:
DFT total energy in eV per cell: -51.01
Total moment in Bohr magnetons per cell: 0.00
Formation energy from raw total energies in eV/f.u.: -5.95

```
Ca4Pb2S
1.0
5.427 0.000 0.000
0.000 5.427 0.000
0.000 0.000 15.397
Ca Pb S
8 4 2
Direct
0.000 0.000 0.178 Ca
0.000 0.000 0.822 Ca
0.000 0.500 0.000 Ca
0.000 0.500 0.500 Ca
0.500 0.000 0.000 Ca
0.500 0.000 0.500 Ca
0.500 0.500 0.322 Ca
0.500 0.500 0.678 Ca
0.000 0.000 0.381 Pb
0.000 0.000 0.619 Pb
0.500 0.500 0.119 Pb
0.500 0.500 0.881 Pb
0.000 0.000 0.000 S
0.500 0.500 0.500 S
```

***

Here is CaPb3S after structural relaxation from Alexandria. Energies are from PBE-GGA.

Computed properties:
DFT total energy in eV per cell: -13.17
E above lowest polymorph in kcal/mol of atoms: 20.51
Total moment in Bohr magnetons per cell: 0.00
Formation energy from raw total energies in eV/f.u.: 4.09

```
CaPb3S
1.0
5.896 0.000 0.000
0.000 5.896 0.000
0.000 0.000 5.896
Ca Pb S
1 3 1
Direct
0.000 0.000 0.000 Ca
0.000 0.000 0.500 Pb
0.000 0.500 0.000 Pb
0.500 0.000 0.000 Pb
0.500 0.500 0.500 S
```

***

Here is Ca3PbS after structural relaxation from Alexandria. Energies are from PBE-GGA.

Computed properties:
DFT total energy in eV per cell: -15.22
E above lowest polymorph in kcal/mol of atoms: 18.52
Total moment in Bohr magnetons per cell: 0.00
Formation energy from raw total energies in eV/f.u.: -1.38

```
Ca3PbS
1.0
5.860 0.000 0.000
0.000 5.860 0.000
0.000 0.000 5.860
Ca Pb S
3 1 1
Direct
0.000 0.000 0.500 Ca
0.000 0.500 0.000 Ca
0.500 0.000 0.000 Ca
0.000 0.000 0.000 Pb
0.500 0.500 0.500 S
```

***

Here is Ca2Pb2S after structural relaxation from Alexandria. Energies are from PBE-GGA.

Computed properties:
DFT total energy in eV per cell: -38.04
Total moment in Bohr magnetons per cell: 0.00
Formation energy from raw total energies in eV/f.u.: -3.47

```
Ca2Pb2S
1.0
7.445 0.000 0.000
0.000 7.445 0.000
0.000 0.000 5.393
Ca Pb S
4 4 2
Direct
0.174 0.326 0.000 Ca
0.326 0.826 0.000 Ca
0.674 0.174 0.000 Ca
0.826 0.674 0.000 Ca
0.145 0.645 0.500 Pb
0.355 0.145 0.500 Pb
0.645 0.855 0.500 Pb
0.855 0.355 0.500 Pb
0.000 0.000 0.000 S
0.500 0.500 0.000 S
```

***

Here is CaPb3S after structural relaxation from Alexandria. Energies are from PBE-GGA.

Computed properties:
DFT total energy in eV per cell: -17.61
E above lowest polymorph in kcal/mol of atoms: 0.00
Total moment in Bohr magnetons per cell: 0.00
Formation energy from raw total energies in eV/f.u.: -0.36

```
CaPb3S
1.0
5.556 0.000 0.000
0.000 5.556 0.000
0.000 0.000 5.556
Ca Pb S
1 3 1
Direct
0.000 0.000 0.000 Ca
0.000 0.500 0.500 Pb
0.500 0.000 0.500 Pb
0.500 0.500 0.000 Pb
0.500 0.500 0.500 S
```

***

Here is CaPb5S5 after structural relaxation from Alexandria. Energies are from PBE-GGA.

Computed properties:
DFT total energy in eV per cell: -48.83
Total moment in Bohr magnetons per cell: 0.00
Formation energy from raw total energies in eV/f.u.: -7.65

```
CaPb5S5
1.0
6.572 -2.941 0.000
6.572 2.941 0.000
-2.663 0.000 7.826
Ca Pb S
1 5 5
Direct
0.000 0.000 0.000 Ca
0.000 0.000 0.500 Pb
0.337 0.337 0.175 Pb
0.347 0.347 0.656 Pb
0.653 0.653 0.344 Pb
0.663 0.663 0.825 Pb
0.163 0.163 0.326 S
0.167 0.167 0.844 S
0.500 0.500 0.000 S
0.833 0.833 0.156 S
0.837 0.837 0.674 S
```